# LiTaWO6, optimized geometry, DFT PBE+U
# * distance to the lowest polymorph of the same formula: 0 meV per atom
data_LiTaWO6
_chemical_formula_sum 'Li4 Ta4 W4 O24'
_cell_length_a 7.442
_cell_length_b 7.442
_cell_length_c 10.445
_cell_angle_alpha 90.00
_cell_angle_beta 90.00
_cell_angle_gamma 90.00
_space_group_name_H-M_alt 'P 41 2 2'
_space_group_IT_number 91
loop_
_space_group_symop_operation_xyz
'x,y,z'
'-y,x,z+1/4'
'-x,-y,z+1/2'
'y,-x,z+3/4'
'x,-y,-z+1/2'
'-y,-x,-z+1/4'
'-x,y,-z'
'y,x,-z+3/4'
loop_
_atom_site_label
_atom_site_fract_x
_atom_site_fract_y
_atom_site_fract_z
_atom_site_occupancy
Li1 0.000 0.361 0.000 1
Ta1 0.000 0.242 0.500 1
W1 0.249 0.500 0.250 1
O1 0.060 0.060 0.375 1
O2 0.066 0.446 0.379 1
O3 0.244 0.255 0.190 1
O4 0.431 0.431 0.375 1